1.
Density functional theory data (PBE-GGA) for Cd3AsO after structural relaxation.

Uncorrected formation energy = -1.6 eV per formula unit
DFT total energy = -2.795 eV/atom
Total magnetization = 0.0 μB/f.u.

Lattice parameters (Å, degrees): 4.296 6.678 8.900 120.20 90.00 90.00
Sites, in units of the cell vectors:
Cd  0.250  0.120  0.426
Cd  0.750  0.880  0.574
Cd  0.250  0.981  0.877
Cd  0.250  0.468  0.867
O  0.250  0.080  0.661
O  0.750  0.920  0.339
Cd  0.750  0.019  0.123
Cd  0.750  0.532  0.133
As  0.250  0.333  0.237
As  0.750  0.667  0.763



2.
Density functional theory data (PBE-GGA) for Ag12Sb3Te5 after structural relaxation.

Uncorrected formation energy = 1.8 eV per formula unit
DFT total energy = -3.025 eV/atom
Total magnetization = 0.0 μB/f.u.

Lattice parameters (Å, degrees): 14.108 14.108 14.108 109.47 109.47 109.47
Sites, in units of the cell vectors:
Te  0.125  0.750  0.375
Ag  0.667  0.234  0.596
Ag  0.638  0.067  0.234
Ag  0.433  0.766  0.862
Te  0.500  0.500  0.500
Te  0.875  0.250  0.625
Sb  0.250  0.625  0.875
Sb  0.625  0.375  0.750
Ag  0.928  0.833  0.567
Ag  0.833  0.904  0.266
Ag  0.904  0.833  0.766
Te  0.375  0.125  0.750
Te  0.500  0.000  0.500
Ag  0.138  0.404  0.072
Te  0.625  0.750  0.875
Sb  0.875  0.125  0.250
Ag  0.404  0.266  0.333
Ag  0.596  0.734  0.667
Sb  0.125  0.250  0.875
Ag  0.138  0.734  0.567
Ag  0.572  0.638  0.404
Ag  0.167  0.072  0.933
Ag  0.072  0.167  0.433
Ag  0.933  0.572  0.167
Sb  0.750  0.875  0.625
Sb  0.875  0.750  0.125
Ag  0.266  0.404  0.833
Ag  0.096  0.167  0.234
Ag  0.862  0.266  0.433
Te  0.125  0.375  0.250
Ag  0.266  0.862  0.933
Sb  0.250  0.125  0.375
Te  0.750  0.125  0.875
Te  0.000  0.000  0.000
Ag  0.904  0.072  0.638
Ag  0.072  0.904  0.138
Ag  0.362  0.428  0.096
Ag  0.234  0.567  0.638
Ag  0.572  0.933  0.667
Te  0.000  0.500  0.000
Ag  0.096  0.928  0.362
Ag  0.734  0.596  0.167
Te  0.750  0.625  0.375
Ag  0.362  0.933  0.766
Te  0.875  0.625  0.750
Ag  0.234  0.667  0.096
Ag  0.428  0.362  0.596
Ag  0.333  0.766  0.404
Ag  0.667  0.433  0.572
Ag  0.638  0.572  0.904
Te  0.000  0.000  0.500
Ag  0.428  0.067  0.333
Sb  0.625  0.250  0.375
Ag  0.067  0.428  0.833
Ag  0.766  0.333  0.904
Ag  0.433  0.667  0.072
Ag  0.067  0.638  0.734
Ag  0.167  0.096  0.734
Sb  0.750  0.375  0.125
Ag  0.734  0.138  0.067
Sb  0.125  0.875  0.750
Ag  0.862  0.596  0.928
Sb  0.375  0.625  0.250
Ag  0.567  0.234  0.138
Ag  0.596  0.862  0.428
Te  0.375  0.250  0.125
Ag  0.833  0.928  0.067
Ag  0.928  0.096  0.862
Te  0.250  0.375  0.625
Te  0.000  0.500  0.500
Ag  0.766  0.433  0.362
Ag  0.404  0.138  0.572
Ag  0.933  0.362  0.266
Te  0.250  0.875  0.125
Ag  0.333  0.567  0.428
Te  0.500  0.500  0.000
Te  0.625  0.875  0.250
Te  0.500  0.000  0.000
Sb  0.375  0.750  0.625
Ag  0.567  0.333  0.928



3.
Density functional theory data (PBE-GGA) for Pm7Pr16Ho6 after structural relaxation.

DFT total energy = -4.515 eV/atom
Total magnetization = 0.0 μB/f.u.
ΔE_f = 0.216 eV/atom

Lattice parameters (Å, degrees): 11.442 11.442 11.442 60.00 60.00 60.00
Sites, in units of the cell vectors:
Pr  0.650  0.650  0.050
Pm  0.000  0.500  0.500
Pr  0.875  0.376  0.875
Pr  0.350  0.950  0.350
Pm  0.000  0.000  0.500
Pr  0.350  0.350  0.950
Pm  0.500  0.000  0.000
Pr  0.376  0.875  0.875
Pr  0.350  0.350  0.350
Pr  0.875  0.875  0.875
Pr  0.650  0.050  0.650
Ho  0.737  0.263  0.263
Pr  0.875  0.875  0.376
Pr  0.650  0.650  0.650
Pr  0.125  0.624  0.125
Ho  0.263  0.737  0.263
Pm  0.500  0.000  0.500
Pm  0.000  0.000  0.000
Ho  0.263  0.737  0.737
Pm  0.500  0.500  0.000
Pr  0.125  0.125  0.125
Pr  0.624  0.125  0.125
Pr  0.950  0.350  0.350
Pr  0.125  0.125  0.624
Ho  0.737  0.737  0.263
Pr  0.050  0.650  0.650
Ho  0.263  0.263  0.737
Pm  0.000  0.500  0.000
Ho  0.737  0.263  0.737



4.
Density functional theory data (PBE-GGA) for NdNi12B6 after structural relaxation.

DFT total energy = -6.405 eV/atom
Total magnetization = 0.0 μB/f.u.
ΔE_f = -0.394 eV/atom

Lattice parameters (Å, degrees): 6.040 6.040 6.040 104.47 104.47 104.47
Sites, in units of the cell vectors:
Ni  0.544  0.813  0.544
Ni  0.131  0.869  0.500
Ni  0.544  0.544  0.813
Ni  0.813  0.544  0.544
Ni  0.187  0.456  0.456
Ni  0.869  0.500  0.131
Ni  0.456  0.456  0.187
B  0.665  0.234  0.234
Ni  0.500  0.869  0.131
Ni  0.131  0.500  0.869
B  0.766  0.766  0.335
Ni  0.500  0.131  0.869
B  0.335  0.766  0.766
B  0.234  0.234  0.665
Ni  0.456  0.187  0.456
Nd  0.000  0.000  0.000
B  0.234  0.665  0.234
Ni  0.869  0.131  0.500
B  0.766  0.335  0.766



5.
Density functional theory data (PBE-GGA) for La2DyPuN4 after structural relaxation.

Uncorrected formation energy = -11.0 eV per formula unit
DFT total energy = -9.135 eV/atom
Total magnetization = 4.5 μB/f.u.

Lattice parameters (Å, degrees): 3.593 6.176 6.269 109.05 90.00 90.00
Last column: magnetic moment on the atom in μB.
Sites, in units of the cell vectors:
N  0.000  0.250  0.774  -0.08
La  0.000  0.500  0.500  0.11
N  0.500  0.234  0.219  -0.14
La  0.500  0.000  0.500  0.09
N  0.500  0.766  0.781  -0.14
Pu  0.000  0.000  0.000  4.42
Dy  0.500  0.500  0.000  0.07
N  0.000  0.750  0.226  -0.08



6.
Density functional theory data (PBE-GGA) for Mg2ScIn after structural relaxation.

DFT total energy = -3.164 eV/atom
Total magnetization = 0.0 μB/f.u.
ΔE_f = -0.099 eV/atom

Lattice parameters (Å, degrees): 5.612 5.612 3.253 90.00 90.00 113.47
Sites, in units of the cell vectors:
Mg  0.000  0.000  0.000
Sc  0.500  0.000  0.500
In  0.000  0.500  0.500
Mg  0.500  0.500  0.000



7.
Density functional theory data (PBE-GGA) for ZrAs2SBr after structural relaxation.

Uncorrected formation energy = 1.6 eV per formula unit
DFT total energy = -4.403 eV/atom
Total magnetization = 0.1 μB/f.u.

Lattice parameters (Å, degrees): 5.292 5.292 5.090 90.00 90.00 90.00
Last column: magnetic moment on the atom in μB.
Sites, in units of the cell vectors:
As  0.500  0.000  0.000  -0.06
As  0.000  0.500  0.000  -0.06
Zr  0.000  0.000  0.000  0.05
S  0.500  0.500  0.500  0.20
Br  0.000  0.000  0.500  -0.03



8.
Density functional theory data (PBE-GGA) for MnAgSb2 after structural relaxation.

Uncorrected formation energy = 1.0 eV per formula unit
DFT total energy = -4.811 eV/atom
Total magnetization = 3.8 μB/f.u.

Lattice parameters (Å, degrees): 5.875 5.875 5.875 138.77 138.77 59.72
Last column: magnetic moment on the atom in μB.
Sites, in units of the cell vectors:
Sb  0.250  0.750  0.500  -0.04
Mn  0.750  0.250  0.500  3.81
Sb  0.000  0.000  0.000  -0.05
Ag  0.500  0.500  0.000  -0.01